1.
Computed, not measured: a geometry-optimized Er2Cd2Ag structure at the GGA-PBE level of DFT.

abc: 8.1189 8.1189 8.1189
angles: 134.06 62.81 139.60
Fractional positions:
Er  0.1771  0.1802  0.3573
Er  0.3229  0.6802  0.0030
Er  0.6771  0.3198  0.9970
Er  0.8229  0.8198  0.6427
Cd  0.0910  0.6445  0.7354
Cd  0.4090  0.1445  0.5535
Cd  0.5910  0.8555  0.4465
Cd  0.9090  0.3555  0.2646
Ag  0.2500  0.2500  0.0000
Ag  0.7500  0.7500  0.0000

Computed properties:
E above lowest polymorph in meV/atom: 25.8
Formation energy in eV/atom: -0.1729

2.
Computed, not measured: a geometry-optimized SmGe2Au structure at the GGA-PBE level of DFT.

abc: 10.0351 10.0351 10.0351
angles: 154.36 127.80 59.04
Fractional positions:
Sm  0.1961  0.1961  0.0000
Sm  0.2495  0.0000  0.2495
Sm  0.7505  0.0000  0.7505
Sm  0.8039  0.8039  0.0000
Ge  0.0705  0.5705  0.5000
Ge  0.1546  0.8011  0.3535
Ge  0.4307  0.4307  0.0000
Ge  0.4475  0.8011  0.6465
Ge  0.5525  0.1989  0.3535
Ge  0.5693  0.5693  0.0000
Ge  0.8454  0.1989  0.6465
Ge  0.9295  0.4295  0.5000
Au  0.1044  0.3540  0.7504
Au  0.3964  0.6460  0.7504
Au  0.6036  0.3540  0.2496
Au  0.8956  0.6460  0.2496

Computed properties:
E above lowest polymorph in meV/atom: 0.0
Formation energy in eV/atom: -0.5536

3.
Computed, not measured: a geometry-optimized LiZrAgSn structure at the GGA-PBE level of DFT.

abc: 6.8335 6.8335 6.8335
angles: 90.00 90.00 90.00
Fractional positions:
Li  0.0000  0.0000  0.0000
Li  0.0000  0.5000  0.5000
Li  0.5000  0.0000  0.5000
Li  0.5000  0.5000  0.0000
Zr  0.0000  0.0000  0.5000
Zr  0.0000  0.5000  0.0000
Zr  0.5000  0.0000  0.0000
Zr  0.5000  0.5000  0.5000
Ag  0.2500  0.2500  0.7500
Ag  0.2500  0.7500  0.2500
Ag  0.7500  0.2500  0.2500
Ag  0.7500  0.7500  0.7500
Sn  0.2500  0.2500  0.2500
Sn  0.2500  0.7500  0.7500
Sn  0.7500  0.2500  0.7500
Sn  0.7500  0.7500  0.2500

Computed properties:
Formation energy in eV/atom: -0.2577

4.
Computed, not measured: a geometry-optimized Li2CdSe structure at the GGA-PBE level of DFT.

abc: 7.0841 4.0971 6.8600
angles: 90.00 109.94 90.00
Fractional positions:
Li  0.2110  0.0000  0.1348
Li  0.2890  0.5000  0.8652
Li  0.7110  0.5000  0.1348
Li  0.7890  0.0000  0.8652
Cd  0.0000  0.0000  0.5000
Cd  0.5000  0.5000  0.5000
Se  0.0000  0.5000  0.0000
Se  0.5000  0.0000  0.0000

Computed properties:
Uncorrected formation energy in meV per atom: -697
E above lowest polymorph in meV/atom: 0.0

5.
Computed, not measured: a geometry-optimized V6CrOs5 structure at the GGA-PBE level of DFT.

abc: 6.7214 6.7214 6.0041
angles: 90.00 90.00 143.14
Fractional positions:
V  0.0000  0.0000  0.2409
V  0.0000  0.0000  0.7591
V  0.3381  0.6619  0.2442
V  0.3381  0.6619  0.7558
V  0.6619  0.3381  0.2442
V  0.6619  0.3381  0.7558
Cr  0.5000  0.5000  0.0000
Os  0.1673  0.8327  0.0000
Os  0.1682  0.8318  0.5000
Os  0.5000  0.5000  0.5000
Os  0.8318  0.1682  0.5000
Os  0.8327  0.1673  0.0000

Computed properties:
Formation energy in eV/atom: -0.2740

Looking at raw total energy for the records above, in order, we have -2.93, -4.86, -4.59, -2.75, -10.31 eV/atom.
Looking at size of the total moment for the records above, in order, we have 0.00, 0.00, 0.00, 0.00, 0.00 μB per cell.